The following is a DFT calculation (PBE) of MoAu3 after structural relaxation.

abc: 2.848 2.848 8.532
angles: 90.00 90.00 90.00
Atoms (fractional coordinates):
Mo: 0.000 0.000 0.000
Au: 0.000 0.000 0.500
Au: 0.500 0.500 0.238
Au: 0.500 0.500 0.762

electronic total energy: -20.1 eV for the cell shown
DFT formation energy: 0.134 eV/atom
DOS(E_F): 2.6 states/eV per cell

***

The following is a DFT calculation (PBE) of MoAu3 after structural relaxation.

abc: 4.849 9.703 5.951
angles: 90.00 90.00 90.00
Atoms (fractional coordinates):
Mo: 0.065 0.250 0.138
Mo: 0.435 0.750 0.638
Mo: 0.565 0.250 0.362
Mo: 0.935 0.750 0.862
Au: 0.063 0.250 0.630
Au: 0.243 0.505 0.877
Au: 0.243 0.995 0.877
Au: 0.257 0.005 0.377
Au: 0.257 0.495 0.377
Au: 0.437 0.750 0.130
Au: 0.563 0.250 0.870
Au: 0.743 0.505 0.623
Au: 0.743 0.995 0.623
Au: 0.757 0.005 0.123
Au: 0.757 0.495 0.123
Au: 0.937 0.750 0.370

electronic total energy: -78.5 eV for the cell shown
DFT formation energy: 0.259 eV/atom
DOS(E_F): 10.3 states/eV per cell

***

The following is a DFT calculation (PBE) of Mo2Au after structural relaxation.

abc: 6.281 6.281 6.281
angles: 90.00 90.00 90.00
Atoms (fractional coordinates):
Mo: 0.100 0.100 0.100
Mo: 0.100 0.400 0.600
Mo: 0.400 0.600 0.100
Mo: 0.400 0.900 0.600
Mo: 0.600 0.100 0.400
Mo: 0.600 0.400 0.900
Mo: 0.900 0.600 0.400
Mo: 0.900 0.900 0.900
Au: 0.000 0.000 0.500
Au: 0.000 0.500 0.000
Au: 0.500 0.000 0.000
Au: 0.500 0.500 0.500

electronic total energy: -86.6 eV for the cell shown
excess energy over the best structure of this formula in the dataset: 880 meV/atom
DFT formation energy: 1.098 eV/atom
DOS(E_F): 14.9 states/eV per cell

***

The following is a DFT calculation (PBE) of MoAu8 after structural relaxation.

abc: 7.649 7.649 7.649
angles: 92.03 92.03 158.29
Atoms (fractional coordinates):
Mo: 0.000 0.000 0.000
Au: 0.000 0.334 0.334
Au: 0.000 0.666 0.666
Au: 0.334 0.000 0.334
Au: 0.336 0.336 0.672
Au: 0.336 0.664 0.000
Au: 0.664 0.336 0.000
Au: 0.664 0.664 0.328
Au: 0.666 0.000 0.666

electronic total energy: -35.7 eV for the cell shown
DFT formation energy: 0.155 eV/atom
DOS(E_F): 5.6 states/eV per cell

***

The following is a DFT calculation (PBE) of MoAu3 after structural relaxation.

abc: 2.770 4.750 5.276
angles: 90.00 90.00 90.00
Atoms (fractional coordinates):
Mo: 0.000 0.000 0.000
Au: 0.000 0.500 0.697
Au: 0.500 0.000 0.498
Au: 0.500 0.500 0.181

electronic total energy: -19.6 eV for the cell shown
DFT formation energy: 0.274 eV/atom
DOS(E_F): 2.9 states/eV per cell

***

The following is a DFT calculation (PBE) of Mo2Au after structural relaxation.

abc: 4.623 4.623 2.668
angles: 90.00 90.00 120.00
Atoms (fractional coordinates):
Mo: 0.333 0.667 0.372
Mo: 0.667 0.333 0.628
Au: 0.000 0.000 0.000

electronic total energy: -24.1 eV for the cell shown
excess energy over the best structure of this formula in the dataset: 74 meV/atom
DFT formation energy: 0.293 eV/atom
DOS(E_F): 2.5 states/eV per cell

***

The following is a DFT calculation (PBE) of MoAu after structural relaxation.

abc: 8.966 8.966 3.095
angles: 90.00 90.00 120.00
Atoms (fractional coordinates):
Mo: 0.129 0.565 0.250
Mo: 0.435 0.565 0.250
Mo: 0.435 0.871 0.250
Mo: 0.565 0.129 0.750
Mo: 0.565 0.435 0.750
Mo: 0.871 0.435 0.750
Au: 0.157 0.315 0.750
Au: 0.157 0.843 0.750
Au: 0.315 0.157 0.250
Au: 0.685 0.843 0.750
Au: 0.843 0.157 0.250
Au: 0.843 0.685 0.250

electronic total energy: -80.9 eV for the cell shown
DFT formation energy: 0.314 eV/atom
DOS(E_F): 8.3 states/eV per cell

***

The following is a DFT calculation (PBE) of Mo2Au after structural relaxation.

abc: 12.320 12.320 12.320
angles: 166.33 166.33 19.38
Atoms (fractional coordinates):
Mo: 0.291 0.541 0.750
Mo: 0.459 0.709 0.750
Mo: 0.541 0.291 0.250
Mo: 0.709 0.459 0.250
Au: 0.125 0.875 0.250
Au: 0.875 0.125 0.750

electronic total energy: -46.7 eV for the cell shown
excess energy over the best structure of this formula in the dataset: 314 meV/atom
DFT formation energy: 0.532 eV/atom
DOS(E_F): 7.2 states/eV per cell

***

The following is a DFT calculation (PBE) of MoAu after structural relaxation.

abc: 5.820 5.820 4.442
angles: 90.00 90.00 153.46
Atoms (fractional coordinates):
Mo: 0.187 0.813 0.750
Mo: 0.813 0.187 0.250
Au: 0.431 0.569 0.750
Au: 0.569 0.431 0.250

electronic total energy: -27.2 eV for the cell shown
DFT formation energy: 0.255 eV/atom
DOS(E_F): 2.3 states/eV per cell

***

The following is a DFT calculation (PBE) of MoAu after structural relaxation.

abc: 7.865 7.865 7.865
angles: 92.12 92.12 157.80
Atoms (fractional coordinates):
Mo: 0.169 0.725 0.894
Mo: 0.275 0.169 0.443
Mo: 0.725 0.831 0.557
Mo: 0.831 0.275 0.106
Au: 0.316 0.529 0.845
Au: 0.471 0.316 0.786
Au: 0.529 0.684 0.214
Au: 0.684 0.471 0.155

electronic total energy: -50.9 eV for the cell shown
DFT formation energy: 0.695 eV/atom
DOS(E_F): 5.6 states/eV per cell

***

The following is a DFT calculation (PBE) of Mo3Au4 after structural relaxation.

abc: 10.894 10.894 10.894
angles: 162.30 162.30 25.13
Atoms (fractional coordinates):
Mo: 0.000 0.000 0.000
Mo: 0.279 0.279 0.000
Mo: 0.721 0.721 0.000
Au: 0.143 0.143 0.000
Au: 0.430 0.430 0.000
Au: 0.570 0.570 0.000
Au: 0.857 0.857 0.000

electronic total energy: -43.6 eV for the cell shown
DFT formation energy: 0.281 eV/atom
DOS(E_F): 5.7 states/eV per cell

***

The following is a DFT calculation (PBE) of MoAu after structural relaxation.

abc: 2.748 2.748 4.391
angles: 90.00 90.00 90.00
Atoms (fractional coordinates):
Mo: 0.000 0.000 0.000
Au: 0.500 0.500 0.500

electronic total energy: -13.6 eV for the cell shown
DFT formation energy: 0.277 eV/atom
DOS(E_F): 1.8 states/eV per cell

***

The following is a DFT calculation (PBE) of MoAu after structural relaxation.

abc: 3.795 3.795 3.795
angles: 60.00 60.00 60.00
Atoms (fractional coordinates):
Mo: 0.000 0.000 0.000
Au: 0.500 0.500 0.500

electronic total energy: -11.7 eV for the cell shown
DFT formation energy: 1.227 eV/atom
DOS(E_F): 2.2 states/eV per cell

***

The following is a DFT calculation (PBE) of MoAu3 after structural relaxation.

abc: 4.741 6.030 4.888
angles: 90.00 90.00 90.00
Atoms (fractional coordinates):
Mo: 0.250 0.250 0.174
Mo: 0.750 0.750 0.826
Au: 0.250 0.002 0.671
Au: 0.250 0.498 0.671
Au: 0.250 0.750 0.157
Au: 0.750 0.250 0.843
Au: 0.750 0.502 0.329
Au: 0.750 0.998 0.329

electronic total energy: -38.6 eV for the cell shown
DFT formation energy: 0.339 eV/atom
DOS(E_F): 8.6 states/eV per cell

***

The following is a DFT calculation (PBE) of MoAu5 after structural relaxation.

abc: 5.452 5.452 4.764
angles: 90.00 90.00 120.00
Atoms (fractional coordinates):
Mo: 0.000 0.000 0.000
Au: 0.000 0.500 0.500
Au: 0.333 0.667 0.000
Au: 0.500 0.000 0.500
Au: 0.500 0.500 0.500
Au: 0.667 0.333 0.000

electronic total energy: -24.0 eV for the cell shown
excess energy over the best structure of this formula in the dataset: 347 meV/atom
DFT formation energy: 0.541 eV/atom
DOS(E_F): 3.3 states/eV per cell

***

The following is a DFT calculation (PBE) of Mo7Au after structural relaxation.

abc: 5.661 5.661 5.661
angles: 60.00 60.00 60.00
Atoms (fractional coordinates):
Mo: 0.000 0.000 0.000
Mo: 0.000 0.000 0.500
Mo: 0.000 0.500 0.000
Mo: 0.000 0.500 0.500
Mo: 0.500 0.000 0.000
Mo: 0.500 0.000 0.500
Mo: 0.500 0.500 0.000
Au: 0.500 0.500 0.500

electronic total energy: -76.9 eV for the cell shown
DFT formation energy: 0.275 eV/atom
DOS(E_F): 9.3 states/eV per cell

***

The following is a DFT calculation (PBE) of Mo2Au3 after structural relaxation.

abc: 11.996 11.996 11.996
angles: 13.75 13.75 13.75
Atoms (fractional coordinates):
Mo: 0.100 0.100 0.100
Mo: 0.900 0.900 0.900
Au: 0.298 0.298 0.298
Au: 0.500 0.500 0.500
Au: 0.702 0.702 0.702

electronic total energy: -29.9 eV for the cell shown
DFT formation energy: 0.310 eV/atom
DOS(E_F): 3.5 states/eV per cell

***

The following is a DFT calculation (PBE) of Mo2Au after structural relaxation.

abc: 8.021 8.021 2.656
angles: 90.00 90.00 120.00
Atoms (fractional coordinates):
Mo: 0.000 0.314 0.000
Mo: 0.000 0.647 0.500
Mo: 0.314 0.000 0.000
Mo: 0.353 0.353 0.500
Mo: 0.647 0.000 0.500
Mo: 0.686 0.686 0.000
Au: 0.000 0.000 0.500
Au: 0.333 0.667 0.000
Au: 0.667 0.333 0.000

electronic total energy: -72.2 eV for the cell shown
excess energy over the best structure of this formula in the dataset: 77 meV/atom
DFT formation energy: 0.295 eV/atom
DOS(E_F): 8.1 states/eV per cell

***

The following is a DFT calculation (PBE) of Mo3Au5 after structural relaxation.

abc: 4.948 7.159 8.292
angles: 88.06 82.74 79.27
Atoms (fractional coordinates):
Mo: 0.099 0.135 0.012
Mo: 0.307 0.940 0.461
Mo: 0.397 0.495 0.390
Mo: 0.603 0.505 0.610
Mo: 0.693 0.060 0.539
Mo: 0.901 0.865 0.988
Au: 0.003 0.717 0.662
Au: 0.137 0.275 0.670
Au: 0.254 0.522 0.923
Au: 0.364 0.802 0.154
Au: 0.439 0.857 0.792
Au: 0.561 0.143 0.208
Au: 0.636 0.198 0.846
Au: 0.746 0.478 0.077
Au: 0.863 0.725 0.330
Au: 0.997 0.283 0.338

electronic total energy: -92.8 eV for the cell shown
excess energy over the best structure of this formula in the dataset: 0 meV/atom
DFT formation energy: 0.309 eV/atom
DOS(E_F): 11.0 states/eV per cell

***

The following is a DFT calculation (PBE) of Mo2Au after structural relaxation.

abc: 4.539 4.539 5.530
angles: 90.00 90.00 120.00
Atoms (fractional coordinates):
Mo: 0.000 0.000 0.000
Mo: 0.000 0.000 0.500
Mo: 0.333 0.667 0.250
Mo: 0.667 0.333 0.750
Au: 0.333 0.667 0.750
Au: 0.667 0.333 0.250

electronic total energy: -47.7 eV for the cell shown
excess energy over the best structure of this formula in the dataset: 141 meV/atom
DFT formation energy: 0.359 eV/atom
DOS(E_F): 4.0 states/eV per cell

***

The following is a DFT calculation (PBE) of MoAu after structural relaxation.

abc: 4.927 4.927 4.927
angles: 131.10 131.10 71.66
Atoms (fractional coordinates):
Mo: 0.375 0.625 0.750
Mo: 0.625 0.375 0.250
Au: 0.125 0.875 0.250
Au: 0.875 0.125 0.750

electronic total energy: -27.1 eV for the cell shown
DFT formation energy: 0.276 eV/atom
DOS(E_F): 2.1 states/eV per cell

***

The following is a DFT calculation (PBE) of MoAu after structural relaxation.

abc: 4.484 4.484 5.294
angles: 90.00 90.00 120.00
Atoms (fractional coordinates):
Mo: 0.333 0.667 0.250
Mo: 0.667 0.333 0.750
Au: 0.333 0.667 0.750
Au: 0.667 0.333 0.250

electronic total energy: -22.4 eV for the cell shown
DFT formation energy: 1.461 eV/atom
DOS(E_F): 3.7 states/eV per cell

***

The following is a DFT calculation (PBE) of Mo2Au after structural relaxation.

abc: 6.113 6.113 4.078
angles: 90.00 90.00 139.35
Atoms (fractional coordinates):
Mo: 0.099 0.901 0.750
Mo: 0.246 0.754 0.250
Mo: 0.754 0.246 0.750
Mo: 0.901 0.099 0.250
Au: 0.419 0.581 0.750
Au: 0.581 0.419 0.250

electronic total energy: -48.6 eV for the cell shown
excess energy over the best structure of this formula in the dataset: 0 meV/atom
DFT formation energy: 0.218 eV/atom
DOS(E_F): 3.9 states/eV per cell

***

The following is a DFT calculation (PBE) of MoAu after structural relaxation.

abc: 5.343 5.343 5.516
angles: 90.00 90.00 90.00
Atoms (fractional coordinates):
Mo: 0.152 0.152 0.000
Mo: 0.348 0.652 0.500
Mo: 0.652 0.348 0.500
Mo: 0.848 0.848 0.000
Au: 0.176 0.176 0.500
Au: 0.324 0.676 0.000
Au: 0.676 0.324 0.000
Au: 0.824 0.824 0.500

electronic total energy: -49.4 eV for the cell shown
DFT formation energy: 0.878 eV/atom
DOS(E_F): 12.5 states/eV per cell

***

The following is a DFT calculation (PBE) of Mo4Au after structural relaxation.

abc: 4.784 4.784 4.784
angles: 90.00 90.00 90.00
Atoms (fractional coordinates):
Mo: 0.000 0.000 0.000
Mo: 0.000 0.500 0.500
Mo: 0.500 0.000 0.500
Mo: 0.500 0.500 0.000
Au: 0.500 0.500 0.500

electronic total energy: -33.9 eV for the cell shown
excess energy over the best structure of this formula in the dataset: 2323 meV/atom
DFT formation energy: 2.544 eV/atom
DOS(E_F): 10.1 states/eV per cell

***

We obtain theoretical density values of 16.48, 16.29, 10.42, 17.07, 16.43, 13.08, 13.54, 12.36, 14.47, 10.78, 14.95, 14.67, 12.58, 16.32, 14.63, 11.24, 15.31, 13.09, 14.76, 13.09, 14.63, 10.55, 13.01, 12.35, 8.81 g cm⁻³ for the records listed above, in that order.
We obtain V values of 69.2, 280.0, 247.8, 162.6, 69.4, 49.4, 215.5, 104.5, 67.2, 180.4, 119.5, 33.2, 38.7, 139.7, 122.7, 128.3, 84.9, 148.0, 286.3, 98.7, 66.5, 92.2, 99.3, 157.5, 109.5 Å³ per cell for the records listed above, in that order.